This record from Alexandria describes crystalline CrBi2F8 at its relaxed geometry. The functional is GGA+U.

a = 3.6596 Å, b = 5.8363 Å, c = 7.9984 Å
α = 91.19°, β = 102.33°, γ = 93.50°
With the nearest neighbours (Å) after each atom.
Atoms (fractional coordinates):
1 Cr 0.0000 0.0000 0.0000  4 F 2.05
2 Bi 0.3288 0.3346 0.6866  8 F 2.27-2.53
3 Bi 0.6712 0.6654 0.3134  8 F 2.27-2.53
4 F 0.1067 0.4737 0.2085  2 Bi 2.27-2.29
5 F 0.1750 0.9460 0.2567  1 Cr 2.05
6 F 0.2796 0.6738 0.5343  3 Bi 2.34-2.53
7 F 0.4334 0.2236 0.9688  1 Cr 2.05
8 F 0.5666 0.7764 0.0312  1 Cr 2.05
9 F 0.7204 0.3262 0.4657  3 Bi 2.34-2.53
10 F 0.8250 0.0540 0.7433  1 Cr 2.05
11 F 0.8933 0.5263 0.7915  2 Bi 2.27-2.29

**Spin magnetization**: 4.0 μB/f.u.
**Space-group type**: P-1, No. 2
**Relative energy among the computed polymorphs**: 0.0 meV per atom